# Pm5HoTm12

Crystalline Pm5HoTm12 at its relaxed geometry (PBE-GGA, Alexandria via LeMat-Bulk).

Geometry as CIF:
```
data_Pm5HoTm12
_chemical_formula_sum 'Pm10 Ho2 Tm24'
_cell_length_a 14.9740
_cell_length_b 15.0163
_cell_length_c 5.0033
_cell_angle_alpha 90.00
_cell_angle_beta 90.00
_cell_angle_gamma 90.00
_symmetry_space_group_name_H-M 'C m m m'
_symmetry_Int_Tables_number 65
_symmetry_space_group_name_Hall '-C 2 2'
loop_
_atom_site_label
_atom_site_type_symbol
_atom_site_fract_x
_atom_site_fract_y
_atom_site_fract_z
Pm1 Pm 0.0000 0.0000 0.0000
Pm2 Pm 0.0000 0.1669 0.5000
Pm3 Pm 0.0000 0.3344 0.0000
Ho1 Ho 0.0000 0.5000 0.5000
Tm1 Tm 0.1680 0.3340 0.5000
Tm2 Tm 0.1677 0.5000 0.0000
Tm3 Tm 0.1688 0.0000 0.5000
Tm4 Tm 0.1689 0.1670 0.0000
```

Results
Calculated volume: 31.25 Å³/atom
DOS at the Fermi energy: 52.6 states/eV/cell
Energy relative to the elements: 2.6 kJ per mole of atoms